Entry from the Alexandria database: an optimized crystal structure of Cd2HgPtPb (PBE).

formation energy = -0.051 eV/atom
E = -12.1 eV per cell
Fermi-level density of states = 1.6 states/eV/cell

Unit cell a=5.330 b=5.330 c=5.226 alpha=90.00 beta=90.00 gamma=90.00
Element x y z (fractional)
Cd (0.000, 0.500, 0.000)
Cd (0.500, 0.000, 0.000)
Hg (0.000, 0.000, 0.500)
Pt (0.500, 0.500, 0.000)
Pb (0.500, 0.500, 0.500)